# Hg2BPt2

A relaxed Hg2BPt2 crystal (PBE, Alexandria via LeMat-Bulk).

## Properties
The calculation puts the raw total energy at -3.8745 eV per atom. Its space group is P4/mbm (127). For the volume, the calculation gives 18.03 Å³/atom. As for the crystal system: tetragonal. As for the total magnetization: 0.00 μB per cell. The formation energy comes out at -0.01 eV per formula unit. For the density, the calculation gives 14.8 g/cm³.

Lattice parameters (Å, degrees): 5.6496 5.6496 5.6481 90.00 90.00 90.00
Closest atoms and distances in Å follow each position.
Sites, in units of the cell vectors:
Hg  0.8101  0.3101  0.5000  5 Hg 2.91-3.03, 2 Pt 3.03
B  0.5000  0.5000  0.0000  4 Pt 2.09
Pt  0.8290  0.6710  0.0000  2 B 2.09
Hg  0.6899  0.8101  0.5000  5 Hg 2.91-3.03, 2 Pt 3.03
Hg  0.1899  0.6899  0.5000  5 Hg 2.91-3.03, 2 Pt 3.03
Hg  0.3101  0.1899  0.5000  5 Hg 2.91-3.03, 2 Pt 3.03
Pt  0.6710  0.1710  0.0000  2 B 2.09
Pt  0.3290  0.8290  0.0000  2 B 2.09
Pt  0.1710  0.3290  0.0000  2 B 2.09
B  0.0000  0.0000  0.0000  4 Pt 2.09